Entry from the Alexandria database: crystalline CoNiSb2 at its relaxed geometry (PBEsol).

ρ   8.587 g/cm³
Formation energy without anion corrections   0.663 eV/atom
Electronic total energy   -5.09 eV per atom
M_tot   1.39 μB per cell

```
4
Lattice="0.000 3.268 3.268 3.268 0.000 3.268 3.268 3.268 0.000" Properties=species:S:1:pos:R:3 pbc="T T T"
Co 0.000 0.000 0.000
Ni 1.634 1.634 1.634
Sb 3.268 3.268 3.268
Sb 4.903 4.903 4.903
```



Entry from the Alexandria database: crystalline Cu2TcNi at its relaxed geometry (PBEsol).

ρ   10.044 g/cm³
Electronic total energy   -6.47 eV per atom
Energy above the lowest structure with this stoichiometry   0.000 eV/atom
M_tot   0.00 μB per cell

```
4
Lattice="2.558 0.000 0.000 0.000 2.558 0.000 0.000 0.000 7.173" Properties=species:S:1:pos:R:3 pbc="T T T"
Cu 0.000 0.000 0.000
Cu 1.279 1.279 1.738
Tc 1.279 1.279 5.211
Ni 0.000 0.000 3.453
```